# 1
First-principles (PBE) data for an optimized crystal structure of AcLaIBr, as listed in Alexandria via LeMat-Bulk.

Unit cell a=5.618 b=5.618 c=5.618 alpha=60.00 beta=60.00 gamma=60.00
Fractional positions:
Ac 0.000 0.000 0.000
La 0.500 0.500 0.500
I 0.750 0.750 0.750
Br 0.250 0.250 0.250

The value obtained for the formation energy without anion corrections is -0.91 eV per atom. As for the density of states at the Fermi level: 0.58 states/eV per atom. Its total magnetization is 0.00 μB/cell. Its space group is No. 216.



# 2
First-principles (PBE) data for an optimized crystal structure of Ac2IBrN, as listed in Alexandria via LeMat-Bulk.

Unit cell a=9.243 b=9.243 c=11.683 alpha=127.04 beta=127.04 gamma=26.68
Fractional positions:
Ac 0.087 0.087 0.362
Ac 0.382 0.382 0.318
Ac 0.618 0.618 0.682
Ac 0.913 0.913 0.638
I 0.130 0.130 0.953
I 0.870 0.870 0.047
Br 0.287 0.287 0.682
Br 0.713 0.713 0.318
N 0.451 0.451 0.576
N 0.549 0.549 0.424

The value obtained for the formation energy without anion corrections is -1.53 eV per atom. As for the density of states at the Fermi level: 0.18 states/eV per atom. Its total magnetization is 0.00 μB/cell. Its space group is No. 12.



# 3
First-principles (PBE) data for an optimized crystal structure of Ac3IBr2O6, as listed in Alexandria via LeMat-Bulk.

Unit cell a=7.277 b=7.277 c=6.048 alpha=98.36 beta=98.36 gamma=59.28
Fractional positions:
Ac 0.000 0.000 0.000
Ac 0.000 0.500 0.500
Ac 0.500 0.000 0.500
I 0.500 0.500 0.500
Br 0.226 0.226 0.897
Br 0.774 0.774 0.103
O 0.200 0.683 0.695
O 0.317 0.800 0.305
O 0.342 0.342 0.347
O 0.658 0.658 0.653
O 0.683 0.200 0.695
O 0.800 0.317 0.305

The value obtained for the formation energy without anion corrections is -1.85 eV per atom. As for the density of states at the Fermi level: 0.00 states/eV per atom. Its total magnetization is 0.00 μB/cell. Its space group is No. 12.



# 4
First-principles (PBE) data for an optimized crystal structure of AcIBrO4, as listed in Alexandria via LeMat-Bulk.

Unit cell a=6.827 b=6.827 c=6.953 alpha=95.06 beta=95.06 gamma=64.99
Fractional positions:
Ac 0.232 0.232 0.180
Ac 0.768 0.768 0.820
I 0.122 0.122 0.669
I 0.878 0.878 0.331
Br 0.437 0.437 0.844
Br 0.563 0.563 0.156
O 0.013 0.642 0.157
O 0.038 0.038 0.248
O 0.271 0.271 0.544
O 0.358 0.987 0.843
O 0.642 0.013 0.157
O 0.729 0.729 0.456
O 0.962 0.962 0.752
O 0.987 0.358 0.843

The value obtained for the formation energy without anion corrections is -1.35 eV per atom. As for the density of states at the Fermi level: 0.00 states/eV per atom. Its total magnetization is 0.00 μB/cell. Its space group is No. 12.



# 5
First-principles (PBE) data for an optimized crystal structure of AcI2BrO6, as listed in Alexandria via LeMat-Bulk.

Unit cell a=8.602 b=8.602 c=6.185 alpha=101.60 beta=101.60 gamma=89.44
Fractional positions:
Ac 0.185 0.815 0.750
Ac 0.815 0.185 0.250
I 0.210 0.447 0.205
I 0.447 0.210 0.705
I 0.553 0.790 0.295
I 0.790 0.553 0.795
Br 0.077 0.923 0.250
Br 0.923 0.077 0.750
O 0.008 0.391 0.224
O 0.264 0.608 0.459
O 0.289 0.325 0.799
O 0.325 0.289 0.299
O 0.391 0.008 0.724
O 0.392 0.736 0.041
O 0.608 0.264 0.959
O 0.609 0.992 0.276
O 0.675 0.711 0.701
O 0.711 0.675 0.201
O 0.736 0.392 0.541
O 0.992 0.609 0.776

The value obtained for the formation energy without anion corrections is -1.11 eV per atom. As for the density of states at the Fermi level: 0.00 states/eV per atom. Its total magnetization is 0.00 μB/cell. Its space group is No. 15.



# 6
First-principles (PBE) data for an optimized crystal structure of Ac2I2BrO2, as listed in Alexandria via LeMat-Bulk.

Unit cell a=4.326 b=4.326 c=13.991 alpha=90.00 beta=90.00 gamma=120.00
Fractional positions:
Ac 0.333 0.667 0.112
Ac 0.667 0.333 0.888
I 0.000 0.000 0.277
I 0.000 0.000 0.723
Br 0.000 0.000 0.500
O 0.333 0.667 0.935
O 0.667 0.333 0.065

The value obtained for the formation energy without anion corrections is -2.13 eV per atom. As for the density of states at the Fermi level: 0.18 states/eV per atom. Its total magnetization is 1.01 μB/cell. Its space group is No. 164.



# 7
First-principles (PBE) data for an optimized crystal structure of Ac2IBr2O2, as listed in Alexandria via LeMat-Bulk.

Unit cell a=4.234 b=4.234 c=16.262 alpha=90.00 beta=90.00 gamma=120.00
Fractional positions:
Ac 0.333 0.667 0.098
Ac 0.667 0.333 0.902
I 0.000 0.000 0.500
Br 0.000 0.000 0.223
Br 0.000 0.000 0.777
O 0.333 0.667 0.944
O 0.667 0.333 0.056

The value obtained for the formation energy without anion corrections is -2.35 eV per atom. As for the density of states at the Fermi level: 0.47 states/eV per atom. Its total magnetization is 0.99 μB/cell. Its space group is No. 164.



# 8
First-principles (PBE) data for an optimized crystal structure of Ac6Pd2I3Br, as listed in Alexandria via LeMat-Bulk.

Unit cell a=7.917 b=7.917 c=8.739 alpha=98.65 beta=98.65 gamma=119.88
Fractional positions:
Ac 0.071 0.432 0.800
Ac 0.205 0.205 0.195
Ac 0.432 0.071 0.800
Ac 0.568 0.929 0.200
Ac 0.795 0.795 0.805
Ac 0.929 0.568 0.200
Pd 0.168 0.832 0.000
Pd 0.832 0.168 0.000
I 0.000 0.000 0.500
I 0.343 0.657 0.500
I 0.657 0.343 0.500
Br 0.500 0.500 0.000

The value obtained for the formation energy without anion corrections is -0.98 eV per atom. As for the density of states at the Fermi level: 0.70 states/eV per atom. Its total magnetization is 0.00 μB/cell. Its space group is No. 12.



# 9
First-principles (PBE) data for an optimized crystal structure of Ac8Pd3I4Br, as listed in Alexandria via LeMat-Bulk.

Unit cell a=9.970 b=9.970 c=9.970 alpha=53.54 beta=53.54 gamma=53.54
Fractional positions:
Ac 0.219 0.743 0.743
Ac 0.228 0.228 0.228
Ac 0.257 0.257 0.781
Ac 0.257 0.781 0.257
Ac 0.743 0.219 0.743
Ac 0.743 0.743 0.219
Ac 0.772 0.772 0.772
Ac 0.781 0.257 0.257
Pd 0.000 0.000 0.500
Pd 0.000 0.500 0.000
Pd 0.500 0.000 0.000
I 0.000 0.000 0.000
I 0.000 0.500 0.500
I 0.500 0.000 0.500
I 0.500 0.500 0.000
Br 0.500 0.500 0.500

The value obtained for the formation energy without anion corrections is -0.96 eV per atom. As for the density of states at the Fermi level: 0.95 states/eV per atom. Its total magnetization is 0.00 μB/cell. Its space group is No. 166.



# 10
First-principles (PBE) data for an optimized crystal structure of Ac6Pt2I3Br, as listed in Alexandria via LeMat-Bulk.

Unit cell a=7.977 b=7.977 c=8.807 alpha=98.67 beta=98.67 gamma=119.85
Fractional positions:
Ac 0.066 0.434 0.805
Ac 0.197 0.197 0.192
Ac 0.434 0.066 0.805
Ac 0.566 0.934 0.195
Ac 0.803 0.803 0.808
Ac 0.934 0.566 0.195
Pt 0.167 0.833 0.000
Pt 0.833 0.167 0.000
I 0.000 0.000 0.500
I 0.343 0.657 0.500
I 0.657 0.343 0.500
Br 0.500 0.500 0.000

The value obtained for the formation energy without anion corrections is -1.15 eV per atom. As for the density of states at the Fermi level: 0.67 states/eV per atom. Its total magnetization is 0.00 μB/cell. Its space group is No. 12.



# 11
First-principles (PBE) data for an optimized crystal structure of Ac4RhIBr2, as listed in Alexandria via LeMat-Bulk.

Unit cell a=8.123 b=4.383 c=8.758 alpha=90.00 beta=108.37 gamma=90.00
Fractional positions:
Ac 0.206 0.000 0.199
Ac 0.235 0.500 0.797
Ac 0.765 0.500 0.203
Ac 0.794 0.000 0.801
Rh 0.000 0.500 0.000
I 0.000 0.000 0.500
Br 0.500 0.000 0.000
Br 0.500 0.500 0.500

The value obtained for the formation energy without anion corrections is -1.03 eV per atom. As for the density of states at the Fermi level: 0.66 states/eV per atom. Its total magnetization is 0.00 μB/cell. Its space group is No. 10.



# 12
First-principles (PBE) data for an optimized crystal structure of Ac4SiI2Br, as listed in Alexandria via LeMat-Bulk.

Unit cell a=7.527 b=4.400 c=9.083 alpha=90.00 beta=106.33 gamma=90.00
Fractional positions:
Ac 0.225 0.000 0.206
Ac 0.247 0.500 0.786
Ac 0.753 0.500 0.214
Ac 0.775 0.000 0.794
Si 0.000 0.500 0.000
I 0.000 0.000 0.500
I 0.500 0.500 0.500
Br 0.500 0.000 0.000

The value obtained for the formation energy without anion corrections is -0.96 eV per atom. As for the density of states at the Fermi level: 0.68 states/eV per atom. Its total magnetization is 0.00 μB/cell. Its space group is No. 10.



# 13
First-principles (PBE) data for an optimized crystal structure of Ac3SiIBr, as listed in Alexandria via LeMat-Bulk.

Unit cell a=9.922 b=4.489 c=10.793 alpha=90.00 beta=92.40 gamma=90.00
Fractional positions:
Ac 0.082 0.250 0.348
Ac 0.154 0.250 0.922
Ac 0.346 0.750 0.631
Ac 0.654 0.250 0.369
Ac 0.846 0.750 0.078
Ac 0.918 0.750 0.652
Si 0.137 0.250 0.638
Si 0.863 0.750 0.362
I 0.369 0.750 0.316
I 0.631 0.250 0.684
Br 0.379 0.750 0.919
Br 0.621 0.250 0.081

The value obtained for the formation energy without anion corrections is -0.97 eV per atom. As for the density of states at the Fermi level: 0.52 states/eV per atom. Its total magnetization is 1.88 μB/cell. Its space group is No. 11.



# 14
First-principles (PBE) data for an optimized crystal structure of Ac4TcI2Br, as listed in Alexandria via LeMat-Bulk.

Unit cell a=8.430 b=4.377 c=8.807 alpha=90.00 beta=104.20 gamma=90.00
Fractional positions:
Ac 0.193 0.000 0.186
Ac 0.219 0.500 0.796
Ac 0.781 0.500 0.204
Ac 0.807 0.000 0.814
Tc 0.000 0.500 0.000
I 0.000 0.000 0.500
I 0.500 0.500 0.500
Br 0.500 0.000 0.000

The value obtained for the formation energy without anion corrections is -0.75 eV per atom. As for the density of states at the Fermi level: 0.65 states/eV per atom. Its total magnetization is 0.00 μB/cell. Its space group is No. 10.



# 15
First-principles (PBE) data for an optimized crystal structure of Ac2InBr, as listed in Alexandria via LeMat-Bulk.

Unit cell a=5.776 b=5.776 c=5.776 alpha=60.00 beta=60.00 gamma=60.00
Fractional positions:
Ac 0.250 0.250 0.250
Ac 0.750 0.750 0.750
In 0.000 0.000 0.000
Br 0.500 0.500 0.500

The value obtained for the formation energy without anion corrections is -0.74 eV per atom. As for the density of states at the Fermi level: 0.69 states/eV per atom. As for the energy above the most stable polymorph in this dataset: 45 meV per atom. Its total magnetization is 0.00 μB/cell. Its space group is No. 225.



# 16
First-principles (PBE) data for an optimized crystal structure of Ac2InBr, as listed in Alexandria via LeMat-Bulk.

Unit cell a=8.542 b=8.542 c=8.542 alpha=32.17 beta=32.17 gamma=32.17
Fractional positions:
Ac 0.000 0.000 0.000
Ac 0.183 0.183 0.183
In 0.591 0.591 0.591
Br 0.764 0.764 0.764

The value obtained for the formation energy without anion corrections is -0.69 eV per atom. As for the density of states at the Fermi level: 0.97 states/eV per atom. As for the energy above the most stable polymorph in this dataset: 91 meV per atom. Its total magnetization is 0.00 μB/cell. Its space group is No. 160.



# 17
First-principles (PBE) data for an optimized crystal structure of AcInBr2, as listed in Alexandria via LeMat-Bulk.

Unit cell a=10.576 b=10.576 c=10.576 alpha=23.84 beta=23.84 gamma=23.84
Fractional positions:
Ac 0.000 0.000 0.000
In 0.500 0.500 0.500
Br 0.098 0.098 0.098
Br 0.902 0.902 0.902

The value obtained for the formation energy without anion corrections is -0.82 eV per atom. As for the density of states at the Fermi level: 0.26 states/eV per atom. Its total magnetization is 0.00 μB/cell. Its space group is No. 166.



# 18
First-principles (PBE) data for an optimized crystal structure of Ac2InBr, as listed in Alexandria via LeMat-Bulk.

Unit cell a=3.868 b=3.868 c=8.847 alpha=90.00 beta=90.00 gamma=90.00
Fractional positions:
Ac 0.000 0.000 0.242
Ac 0.000 0.000 0.758
In 0.500 0.500 0.000
Br 0.500 0.500 0.500

The value obtained for the formation energy without anion corrections is -0.79 eV per atom. As for the density of states at the Fermi level: 0.63 states/eV per atom. As for the energy above the most stable polymorph in this dataset: 0 meV per atom. Its total magnetization is 0.00 μB/cell. Its space group is No. 123.



# 19
First-principles (PBE) data for an optimized crystal structure of Ac3InBr3, as listed in Alexandria via LeMat-Bulk.

Unit cell a=6.506 b=6.506 c=6.506 alpha=90.00 beta=90.00 gamma=90.00
Fractional positions:
Ac 0.000 0.000 0.500
Ac 0.000 0.500 0.000
Ac 0.500 0.000 0.000
In 0.000 0.000 0.000
Br 0.000 0.500 0.500
Br 0.500 0.000 0.500
Br 0.500 0.500 0.000

The value obtained for the formation energy without anion corrections is -1.25 eV per atom. As for the density of states at the Fermi level: 0.39 states/eV per atom. Its total magnetization is 0.00 μB/cell. Its space group is No. 221.



# 20
First-principles (PBE) data for an optimized crystal structure of Ac2InBr, as listed in Alexandria via LeMat-Bulk.

Unit cell a=7.713 b=7.713 c=7.713 alpha=36.97 beta=36.97 gamma=36.97
Fractional positions:
Ac 0.248 0.248 0.248
Ac 0.752 0.752 0.752
In 0.500 0.500 0.500
Br 0.000 0.000 0.000

The value obtained for the formation energy without anion corrections is -0.78 eV per atom. As for the density of states at the Fermi level: 0.80 states/eV per atom. As for the energy above the most stable polymorph in this dataset: 4 meV per atom. Its total magnetization is 0.00 μB/cell. Its space group is No. 166.



# 21
First-principles (PBE) data for an optimized crystal structure of KAcIn2Br6, as listed in Alexandria via LeMat-Bulk.

Unit cell a=8.624 b=8.624 c=8.624 alpha=57.57 beta=57.57 gamma=57.57
Fractional positions:
K 0.000 0.000 0.000
Ac 0.507 0.507 0.507
In 0.204 0.204 0.204
In 0.709 0.709 0.709
Br 0.146 0.389 0.776
Br 0.316 0.877 0.607
Br 0.389 0.776 0.146
Br 0.607 0.316 0.877
Br 0.776 0.146 0.389
Br 0.877 0.607 0.316

The value obtained for the formation energy without anion corrections is -1.43 eV per atom. As for the density of states at the Fermi level: 0.00 states/eV per atom. Its total magnetization is 0.00 μB/cell. Its space group is No. 146.



# 22
First-principles (PBE) data for an optimized crystal structure of AcLaInBr, as listed in Alexandria via LeMat-Bulk.

Unit cell a=5.675 b=5.675 c=5.675 alpha=60.00 beta=60.00 gamma=60.00
Fractional positions:
Ac 0.000 0.000 0.000
La 0.500 0.500 0.500
In 0.750 0.750 0.750
Br 0.250 0.250 0.250

The value obtained for the formation energy without anion corrections is -0.73 eV per atom. As for the density of states at the Fermi level: 0.88 states/eV per atom. Its total magnetization is 0.00 μB/cell. Its space group is No. 216.



# 23
First-principles (PBE) data for an optimized crystal structure of NaAcIn2Br6, as listed in Alexandria via LeMat-Bulk.

Unit cell a=8.351 b=8.351 c=8.351 alpha=58.20 beta=58.20 gamma=58.20
Fractional positions:
Na 0.000 0.000 0.000
Ac 0.496 0.496 0.496
In 0.289 0.289 0.289
In 0.793 0.793 0.793
Br 0.136 0.357 0.712
Br 0.219 0.851 0.641
Br 0.357 0.712 0.136
Br 0.641 0.219 0.851
Br 0.712 0.136 0.357
Br 0.851 0.641 0.219

The value obtained for the formation energy without anion corrections is -1.38 eV per atom. As for the density of states at the Fermi level: 0.00 states/eV per atom. Its total magnetization is 0.00 μB/cell. Its space group is No. 146.